(A)
First-principles (PBE) data for a relaxed structure of H2OsBr, as listed in Alexandria.

Summary:
Crystal system: cubic
Total magnetic moment (μB per cell): 0.0

CIF file:
```
data_H2OsBr
_chemical_formula_sum 'H8 Os4 Br4'
_cell_length_a 5.493
_cell_length_b 5.493
_cell_length_c 5.493
_cell_angle_alpha 90.00
_cell_angle_beta 90.00
_cell_angle_gamma 90.00
_symmetry_space_group_name_H-M 'F m -3 m'
_symmetry_Int_Tables_number 225
_symmetry_space_group_name_Hall '-F 4 2 3'
loop_
_atom_site_label
_atom_site_type_symbol
_atom_site_fract_x
_atom_site_fract_y
_atom_site_fract_z
H1 H 0.250 0.250 0.250
Os1 Os 0.000 0.000 0.000
Br1 Br 0.000 0.000 0.500
```


(B)
First-principles (PBE) data for a relaxed structure of H2OsBr, as listed in Alexandria.

Summary:
Crystal system: tetragonal
Total magnetic moment (μB per cell): 4.4

CIF file:
```
data_H2OsBr
_chemical_formula_sum 'H8 Os4 Br4'
_cell_length_a 5.255
_cell_length_b 5.255
_cell_length_c 7.079
_cell_angle_alpha 90.00
_cell_angle_beta 90.00
_cell_angle_gamma 90.00
_symmetry_space_group_name_H-M 'I -4 2 d'
_symmetry_Int_Tables_number 122
_symmetry_space_group_name_Hall 'I -4 2bw'
loop_
_atom_site_label
_atom_site_type_symbol
_atom_site_fract_x
_atom_site_fract_y
_atom_site_fract_z
H1 H 0.123 0.750 0.125
Os1 Os 0.000 0.000 0.000
Br1 Br 0.000 0.000 0.500
```


Energy above the most stable structure, in eV/atom: (A) 0.764; (B) 0.000


(A)
First-principles (PBE) data for a relaxed structure of HOs2Br, as listed in Alexandria.

Summary:
Crystal system: tetragonal
Total magnetic moment (μB per cell): 0.0

CIF file:
```
data_HOs2Br
_chemical_formula_sum 'H4 Os8 Br4'
_cell_length_a 4.916
_cell_length_b 4.916
_cell_length_c 9.157
_cell_angle_alpha 90.00
_cell_angle_beta 90.00
_cell_angle_gamma 90.00
_symmetry_space_group_name_H-M 'I -4 2 d'
_symmetry_Int_Tables_number 122
_symmetry_space_group_name_Hall 'I -4 2bw'
loop_
_atom_site_label
_atom_site_type_symbol
_atom_site_fract_x
_atom_site_fract_y
_atom_site_fract_z
H1 H 0.000 0.000 0.000
Os1 Os 0.123 0.250 0.125
Br1 Br 0.000 0.000 0.500
```


(B)
First-principles (PBE) data for a relaxed structure of HOs2Br, as listed in Alexandria.

Summary:
Crystal system: cubic
Total magnetic moment (μB per cell): 0.0

CIF file:
```
data_HOs2Br
_chemical_formula_sum 'H4 Os8 Br4'
_cell_length_a 5.894
_cell_length_b 5.894
_cell_length_c 5.894
_cell_angle_alpha 90.00
_cell_angle_beta 90.00
_cell_angle_gamma 90.00
_symmetry_space_group_name_H-M 'F m -3 m'
_symmetry_Int_Tables_number 225
_symmetry_space_group_name_Hall '-F 4 2 3'
loop_
_atom_site_label
_atom_site_type_symbol
_atom_site_fract_x
_atom_site_fract_y
_atom_site_fract_z
H1 H 0.000 0.000 0.000
Os1 Os 0.250 0.250 0.250
Br1 Br 0.000 0.000 0.500
```


Energy above the most stable structure, in eV/atom: (A) 0.000; (B) 0.739


(A)
First-principles (PBE) data for a relaxed structure of HOsBr3, as listed in Alexandria.

Summary:
Crystal system: cubic
Total magnetic moment (μB per cell): 3.5

CIF file:
```
data_HOsBr3
_chemical_formula_sum 'H1 Os1 Br3'
_cell_length_a 5.116
_cell_length_b 5.116
_cell_length_c 5.116
_cell_angle_alpha 90.00
_cell_angle_beta 90.00
_cell_angle_gamma 90.00
_symmetry_space_group_name_H-M 'P m -3 m'
_symmetry_Int_Tables_number 221
_symmetry_space_group_name_Hall '-P 4 2 3'
loop_
_atom_site_label
_atom_site_type_symbol
_atom_site_fract_x
_atom_site_fract_y
_atom_site_fract_z
H1 H 0.000 0.000 0.000
Os1 Os 0.500 0.500 0.500
Br1 Br 0.000 0.500 0.500
```


(B)
First-principles (PBE) data for a relaxed structure of HOsBr3, as listed in Alexandria.

Summary:
Crystal system: cubic
Total magnetic moment (μB per cell): 0.0

CIF file:
```
data_HOsBr3
_chemical_formula_sum 'H1 Os1 Br3'
_cell_length_a 4.430
_cell_length_b 4.430
_cell_length_c 4.430
_cell_angle_alpha 90.00
_cell_angle_beta 90.00
_cell_angle_gamma 90.00
_symmetry_space_group_name_H-M 'P m -3 m'
_symmetry_Int_Tables_number 221
_symmetry_space_group_name_Hall '-P 4 2 3'
loop_
_atom_site_label
_atom_site_type_symbol
_atom_site_fract_x
_atom_site_fract_y
_atom_site_fract_z
H1 H 0.000 0.000 0.000
Os1 Os 0.500 0.500 0.500
Br1 Br 0.000 0.000 0.500
```


Energy above the most stable structure, in eV/atom: (A) 0.000; (B) 0.795


(A)
First-principles (PBE) data for a relaxed structure of HOsSe2Br, as listed in Alexandria.

Summary:
Crystal system: tetragonal
Total magnetic moment (μB per cell): 0.0

CIF file:
```
data_HOsSe2Br
_chemical_formula_sum 'H1 Os1 Se2 Br1'
_cell_length_a 4.015
_cell_length_b 4.015
_cell_length_c 4.851
_cell_angle_alpha 90.00
_cell_angle_beta 90.00
_cell_angle_gamma 90.00
_symmetry_space_group_name_H-M 'P 4/m m m'
_symmetry_Int_Tables_number 123
_symmetry_space_group_name_Hall '-P 4 2'
loop_
_atom_site_label
_atom_site_type_symbol
_atom_site_fract_x
_atom_site_fract_y
_atom_site_fract_z
H1 H 0.000 0.000 0.000
Os1 Os 0.500 0.500 0.500
Se1 Se 0.000 0.500 0.000
Br1 Br 0.000 0.000 0.500
```


(B)
First-principles (PBE) data for a relaxed structure of HOsSe2Br, as listed in Alexandria.

Summary:
Crystal system: tetragonal
Total magnetic moment (μB per cell): 0.7

CIF file:
```
data_HOsSe2Br
_chemical_formula_sum 'H1 Os1 Se2 Br1'
_cell_length_a 4.767
_cell_length_b 4.767
_cell_length_c 5.494
_cell_angle_alpha 90.00
_cell_angle_beta 90.00
_cell_angle_gamma 90.00
_symmetry_space_group_name_H-M 'P 4/m m m'
_symmetry_Int_Tables_number 123
_symmetry_space_group_name_Hall '-P 4 2'
loop_
_atom_site_label
_atom_site_type_symbol
_atom_site_fract_x
_atom_site_fract_y
_atom_site_fract_z
H1 H 0.000 0.000 0.000
Os1 Os 0.500 0.500 0.500
Se1 Se 0.000 0.500 0.500
Br1 Br 0.500 0.500 0.000
```


Energy above the most stable structure, in eV/atom: (A) 0.459; (B) 0.000


(A)
First-principles (PBE) data for a relaxed structure of PHBr2, as listed in Alexandria.

Summary:
Crystal system: cubic
Total magnetic moment (μB per cell): 0.7

CIF file:
```
data_PHBr2
_chemical_formula_sum 'P4 H4 Br8'
_cell_length_a 6.670
_cell_length_b 6.670
_cell_length_c 6.670
_cell_angle_alpha 90.00
_cell_angle_beta 90.00
_cell_angle_gamma 90.00
_symmetry_space_group_name_H-M 'F m -3 m'
_symmetry_Int_Tables_number 225
_symmetry_space_group_name_Hall '-F 4 2 3'
loop_
_atom_site_label
_atom_site_type_symbol
_atom_site_fract_x
_atom_site_fract_y
_atom_site_fract_z
P1 P 0.000 0.000 0.000
H1 H 0.000 0.000 0.500
Br1 Br 0.250 0.250 0.250
```


(B)
First-principles (PBE) data for a relaxed structure of PHBr2, as listed in Alexandria.

Summary:
Crystal system: tetragonal
Total magnetic moment (μB per cell): 0.0

CIF file:
```
data_PHBr2
_chemical_formula_sum 'P4 H4 Br8'
_cell_length_a 6.523
_cell_length_b 6.523
_cell_length_c 7.355
_cell_angle_alpha 90.00
_cell_angle_beta 90.00
_cell_angle_gamma 90.00
_symmetry_space_group_name_H-M 'I -4 2 d'
_symmetry_Int_Tables_number 122
_symmetry_space_group_name_Hall 'I -4 2bw'
loop_
_atom_site_label
_atom_site_type_symbol
_atom_site_fract_x
_atom_site_fract_y
_atom_site_fract_z
P1 P 0.000 0.000 0.000
H1 H 0.000 0.000 0.500
Br1 Br 0.213 0.750 0.625
```


Energy above the most stable structure, in eV/atom: (A) 0.239; (B) 0.000


(A)
First-principles (PBE) data for a relaxed structure of P3HBr, as listed in Alexandria.

Summary:
Crystal system: cubic
Total magnetic moment (μB per cell): 0.2

CIF file:
```
data_P3HBr
_chemical_formula_sum 'P3 H1 Br1'
_cell_length_a 4.932
_cell_length_b 4.932
_cell_length_c 4.932
_cell_angle_alpha 90.00
_cell_angle_beta 90.00
_cell_angle_gamma 90.00
_symmetry_space_group_name_H-M 'P m -3 m'
_symmetry_Int_Tables_number 221
_symmetry_space_group_name_Hall '-P 4 2 3'
loop_
_atom_site_label
_atom_site_type_symbol
_atom_site_fract_x
_atom_site_fract_y
_atom_site_fract_z
P1 P 0.000 0.000 0.500
H1 H 0.500 0.500 0.500
Br1 Br 0.000 0.000 0.000
```


(B)
First-principles (PBE) data for a relaxed structure of P3HBr, as listed in Alexandria.

Summary:
Crystal system: cubic
Total magnetic moment (μB per cell): 0.0

CIF file:
```
data_P3HBr
_chemical_formula_sum 'P3 H1 Br1'
_cell_length_a 4.187
_cell_length_b 4.187
_cell_length_c 4.187
_cell_angle_alpha 90.00
_cell_angle_beta 90.00
_cell_angle_gamma 90.00
_symmetry_space_group_name_H-M 'P m -3 m'
_symmetry_Int_Tables_number 221
_symmetry_space_group_name_Hall '-P 4 2 3'
loop_
_atom_site_label
_atom_site_type_symbol
_atom_site_fract_x
_atom_site_fract_y
_atom_site_fract_z
P1 P 0.000 0.000 0.500
H1 H 0.000 0.000 0.000
Br1 Br 0.500 0.500 0.500
```


Energy above the most stable structure, in eV/atom: (A) 0.880; (B) 0.000